Entry from the Alexandria database: MnGeMoO6 after structural relaxation (PBE with a Hubbard U). Values from VASP.

Quantum ESPRESSO input file:
```
&SYSTEM
  ibrav = 0, nat = 18, ntyp = 4
/
ATOMIC_SPECIES
Mn 54.94 Mn.upf
Ge 72.64 Ge.upf
Mo 95.94 Mo.upf
O 16.00 O.upf
ATOMIC_POSITIONS crystal
Mn 0.500 0.500 0.167
Mn 0.000 0.000 0.667
Ge 0.500 0.500 0.834
Ge 0.000 0.000 0.334
Mo 0.500 0.500 0.499
Mo 0.000 0.000 0.999
O 0.193 0.807 0.495
O 0.807 0.193 0.495
O 0.307 0.307 0.995
O 0.693 0.693 0.995
O 0.194 0.806 0.172
O 0.806 0.194 0.172
O 0.306 0.306 0.672
O 0.694 0.694 0.672
O 0.798 0.202 0.833
O 0.202 0.798 0.833
O 0.702 0.702 0.333
O 0.298 0.298 0.333
CELL_PARAMETERS angstrom
-3.236 1.959 -2.526
-2.087 -4.018 -0.442
-4.845 1.689 7.516
```

Results
For the uncorrected energy, the calculation gives -6.935 eV per atom.